# TcBiO2F, relaxed, DFT PBE
# Raw formation energy   -0.87 eV per atom
# ρ   8.48 g cm⁻³
data_TcBiO2F
_chemical_formula_sum 'Tc1 Bi1 O2 F1'
_cell_length_a 3.919
_cell_length_b 3.919
_cell_length_c 4.565
_cell_angle_alpha 90.00
_cell_angle_beta 90.00
_cell_angle_gamma 90.00
_space_group_name_H-M_alt 'P 4/m m m'
_space_group_IT_number 123
_space_group_name_Hall '-P 4 2'
loop_
_atom_site_label
_atom_site_type_symbol
_atom_site_fract_x
_atom_site_fract_y
_atom_site_fract_z
Tc1 Tc 0.000 0.000 0.000
Bi1 Bi 0.500 0.500 0.500
O1 O 0.000 0.500 0.000
F1 F 0.000 0.000 0.500